The following is a DFT calculation (PBE) of a geometry-optimized BaLi2Tc structure.

Output
The volume is 88.74 Å³/cell. The calculation puts the excess energy over the best structure of this formula in the dataset at 0.154 eV/atom. As for the total DFT energy (no corrections): -3.237 eV/atom. As for the space group: Pmmm (47).

Unit cell a=3.4049 b=4.8208 c=5.4066 alpha=90.00 beta=90.00 gamma=90.00
Closest atoms and distances in Å follow each position.
Atoms (fractional coordinates):
Ba1 0.0000 0.5000 0.5000  4 Tc 2.95, 4 Li 3.19
Li1 0.5000 0.5000 0.0000  4 Li 2.95, 4 Ba 3.19
Li2 0.0000 0.0000 0.0000  4 Li 2.95, 4 Tc 3.19
Tc1 0.5000 0.0000 0.5000  4 Ba 2.95, 4 Li 3.19